(1)
Below is LaNb3Ru after structural relaxation, with properties calculated at the PBE level.

Cell: 4.8121 4.8121 4.8121 Å, 90.00 90.00 90.00°
With the nearest neighbours (Å) after each atom.
Positions (direct):
Ru: 0.5000 0.5000 0.5000  12 Nb 3.40
Nb: 0.0000 0.5000 0.0000  2 La 2.41
Nb: 0.0000 0.0000 0.5000  2 La 2.41
Nb: 0.5000 0.0000 0.0000  2 La 2.41
La: 0.0000 0.0000 0.0000  6 Nb 2.41

***

(2)
Below is LaNbRu after structural relaxation, with properties calculated at the PBE level.

Cell: 4.1006 4.1006 15.3820 Å, 90.00 90.00 120.00°
With the nearest neighbours (Å) after each atom.
Positions (direct):
La: 0.0000 0.0000 0.2878  3 Ru 2.89
La: 0.3333 0.6667 0.9544  3 Ru 2.89
La: 0.6667 0.3333 0.6211  3 Ru 2.89
Nb: 0.0000 0.0000 0.7926  3 Ru 2.56
Nb: 0.3333 0.6667 0.4593  3 Ru 2.56
Nb: 0.6667 0.3333 0.1260  3 Ru 2.56
Ru: 0.0000 0.0000 0.0627  3 Nb 2.56
Ru: 0.3333 0.6667 0.7294  3 Nb 2.56
Ru: 0.6667 0.3333 0.3961  3 Nb 2.56

***

(3)
Below is LaNbRu after structural relaxation, with properties calculated at the PBE level.

Cell: 5.1363 7.2778 7.2124 Å, 90.00 90.00 90.00°
With the nearest neighbours (Å) after each atom.
Positions (direct):
La: 0.2500 0.8183 0.2216  4 Ru 3.05-3.33, 4 Nb 3.21-3.35
La: 0.7500 0.1817 0.2216  4 Ru 3.05-3.33, 4 Nb 3.21-3.35
La: 0.7500 0.3183 0.7216  4 Ru 3.05-3.33, 4 Nb 3.21-3.35
La: 0.2500 0.6817 0.7216  4 Ru 3.05-3.33, 4 Nb 3.21-3.35
Nb: 0.2500 0.3891 0.3882  2 Ru 2.43-2.54
Nb: 0.7500 0.6109 0.3882  2 Ru 2.43-2.54
Nb: 0.7500 0.8891 0.8882  2 Ru 2.43-2.54
Nb: 0.2500 0.1109 0.8882  2 Ru 2.43-2.54
Ru: 0.2500 0.4203 0.0523  2 Nb 2.43-2.54
Ru: 0.7500 0.5797 0.0523  2 Nb 2.43-2.54
Ru: 0.7500 0.9203 0.5523  2 Nb 2.43-2.54
Ru: 0.2500 0.0797 0.5523  2 Nb 2.43-2.54

***

no.,spin magnetization (μB per formula unit),energy (eV/atom)
1,0.00,-6.7767
2,0.00,-7.9036
3,0.00,-8.0808